1.
This record from the Alexandria database describes a relaxed TaAgPb crystal. The functional is PBE-GGA.

The value obtained for the volume is 64 Å³/f.u. The final energy is -5.69 eV/atom. As for the formation energy: 1.33 eV/f.u.

The space group is P3m1 (No. 156) and the conventional cell measures 3.1060, 3.1060 and 7.6795 Å, with angles of 90.00, 90.00 and 120.00 degrees. The asymmetric unit holds Ta at (0.0000, 0.0000, 0.0000), Ag at (0.6667, 0.3333, 0.3023) and Pb at (0.3333, 0.6667, 0.6627).

2.
This record from the Alexandria database describes a relaxed TaAg2Pb crystal. The functional is PBE-GGA.

The value obtained for the volume is 82 Å³/f.u. The final energy is -4.77 eV/atom. As for the formation energy: 2.17 eV/f.u.

The space group is Imm2 (No. 44) and the conventional cell measures 3.001, 5.290 and 10.307 Å, with angles of 90.00, 90.00 and 90.00 degrees. The asymmetric unit holds Ta at (0.000, 0.000, 0.000), Ag at (0.000, 0.000, 0.519), Ag at (0.000, 0.500, 0.256) and Pb at (0.000, 0.500, 0.761).

3.
This record from the Alexandria database describes a relaxed TaAg2Pb crystal. The functional is PBE-GGA.

The value obtained for the volume is 81 Å³/f.u. The final energy is -4.85 eV/atom. As for the formation energy: 1.87 eV/f.u.

The space group is Cmmm (No. 65) and the conventional cell measures 5.824, 9.312 and 2.980 Å, with angles of 90.00, 90.00 and 90.00 degrees. The asymmetric unit holds Ta at (0.000, 0.000, 0.000), Ag at (0.250, 0.250, 0.500) and Pb at (0.000, 0.500, 0.000).

4.
This record from the Alexandria database describes a relaxed TaAgPb crystal. The functional is PBE-GGA.

The value obtained for the volume is 64 Å³/f.u. The final energy is -5.69 eV/atom. As for the formation energy: 1.34 eV/f.u.

The space group is Fmm2 (No. 42) and the conventional cell measures 3.917, 4.622 and 14.097 Å, with angles of 90.00, 90.00 and 90.00 degrees. The asymmetric unit holds Ta at (0.000, 0.000, 0.000), Ag at (0.000, 0.000, 0.649) and Pb at (0.000, 0.000, 0.333).

5.
This record from the Alexandria database describes a relaxed TaAg2Pb crystal. The functional is PBE-GGA.

The value obtained for the volume is 83 Å³/f.u. The final energy is -4.97 eV/atom. As for the formation energy: 1.37 eV/f.u.

The space group is P4/mmm (No. 123) and the conventional cell measures 3.040, 3.040 and 8.963 Å, with angles of 90.00, 90.00 and 90.00 degrees. The asymmetric unit holds Ta at (0.000, 0.000, 0.000), Ag at (0.500, 0.500, 0.223) and Pb at (0.000, 0.000, 0.500).

6.
This record from the Alexandria database describes a relaxed TaAg2Pb crystal. The functional is PBE-GGA.

The value obtained for the volume is 79 Å³/f.u. The final energy is -4.88 eV/atom. As for the formation energy: 1.76 eV/f.u.

The space group is P4/mmm (No. 123) and the conventional cell measures 4.165, 4.165 and 4.529 Å, with angles of 90.00, 90.00 and 90.00 degrees. The asymmetric unit holds Ta at (0.000, 0.000, 0.000), Ag at (0.000, 0.500, 0.500) and Pb at (0.500, 0.500, 0.000).

volume of number 3 (TaAg2Pb)? 81 Å³/f.u.

Which formula does entry 2 have? TaAg2Pb

Among the records above, which one has the highest final energy? number 2

Look up the volume of the sixth one. 79 Å³/f.u.